1.
# BaIr2

A crystal of BaIr2 relaxed with PBEsol (SCAN, Alexandria).

Cell and atoms, written as extended XYZ:
```
6
Lattice="-2.5285 2.5285 5.3738 2.5285 -2.5285 5.3738 2.5285 2.5285 -5.3738" Properties=species:S:1:pos:R:3 pbc="T T T"
Ba 0.0000 0.0000 2.6869
Ba 0.0000 0.0000 8.0607
Ir 3.4330 0.9045 0.0000
Ir 0.9045 1.6239 0.0000
Ir 1.6239 0.9045 5.3738
Ir -0.9045 1.6239 5.3738
```

Summary:
The total magnetization is 0.0 μB per formula unit. The energy comes out at -60.60 eV/atom. Its density of states at the Fermi level is 4.22 states/eV/f.u. The space group is I4/mcm, No. 140.


2.
# ReB2Pd

A crystal of ReB2Pd relaxed with PBEsol (SCAN, Alexandria).

Cell and atoms, written as extended XYZ:
```
8
Lattice="-2.4005 2.4005 4.6008 2.4005 -2.4005 4.6008 2.4005 2.4005 -4.6008" Properties=species:S:1:pos:R:3 pbc="T T T"
Re 0.0000 0.0000 0.0000
Re 0.0000 2.4005 2.3004
B 3.6008 1.1865 -1.1502
B 1.1865 1.2003 1.1502
B -1.2003 1.2141 3.4506
B 1.2141 1.2003 5.7510
Pd 2.4005 0.0000 2.3004
Pd 0.0000 0.0000 4.6008
```

Summary:
The total magnetization is 0.0 μB per formula unit. The energy comes out at -29.08 eV/atom. Its density of states at the Fermi level is 2.63 states/eV/f.u. The space group is I-42d, No. 122.